A) LaSiP2O | PBE | optimized geometry

The structure in CIF format:
```
data_LaSiP2O
_chemical_formula_sum 'La1 Si1 P2 O1'
_cell_length_a 5.042
_cell_length_b 5.042
_cell_length_c 3.420
_cell_angle_alpha 90.00
_cell_angle_beta 90.00
_cell_angle_gamma 90.00
_symmetry_space_group_name_H-M 'P 4/m m m'
_symmetry_Int_Tables_number 123
_symmetry_space_group_name_Hall '-P 4 2'
loop_
_atom_site_label
_atom_site_type_symbol
_atom_site_fract_x
_atom_site_fract_y
_atom_site_fract_z
_atom_site_occupancy
La1 La 0.000 0.000 0.000 1
Si1 Si 0.500 0.500 0.500 1
P1 P 0.000 0.500 0.500 1
O1 O 0.500 0.500 0.000 1
```

## Properties
Size of the total moment, Bohr magnetons per cell: 0.00
Crystal system: tetragonal

---

B) LaSiP2O | PBE | optimized geometry

The structure in CIF format:
```
data_LaSiP2O
_chemical_formula_sum 'La1 Si1 P2 O1'
_cell_length_a 5.685
_cell_length_b 5.685
_cell_length_c 4.186
_cell_angle_alpha 90.00
_cell_angle_beta 90.00
_cell_angle_gamma 90.00
_symmetry_space_group_name_H-M 'P 4/m m m'
_symmetry_Int_Tables_number 123
_symmetry_space_group_name_Hall '-P 4 2'
loop_
_atom_site_label
_atom_site_type_symbol
_atom_site_fract_x
_atom_site_fract_y
_atom_site_fract_z
_atom_site_occupancy
La1 La 0.000 0.000 0.000 1
Si1 Si 0.500 0.500 0.500 1
P1 P 0.000 0.500 0.000 1
O1 O 0.000 0.000 0.500 1
```

## Properties
Size of the total moment, Bohr magnetons per cell: 1.39
Crystal system: tetragonal

---

It is A) that is the most stable of them.

---

A) LaTaPO2 | PBE | optimized geometry

The structure in CIF format:
```
data_LaTaPO2
_chemical_formula_sum 'La1 Ta1 P1 O2'
_cell_length_a 4.087
_cell_length_b 4.087
_cell_length_c 6.815
_cell_angle_alpha 90.00
_cell_angle_beta 90.00
_cell_angle_gamma 90.00
_symmetry_space_group_name_H-M 'P 4/m m m'
_symmetry_Int_Tables_number 123
_symmetry_space_group_name_Hall '-P 4 2'
loop_
_atom_site_label
_atom_site_type_symbol
_atom_site_fract_x
_atom_site_fract_y
_atom_site_fract_z
_atom_site_occupancy
La1 La 0.000 0.000 0.000 1
Ta1 Ta 0.500 0.500 0.500 1
P1 P 0.000 0.000 0.500 1
O1 O 0.000 0.500 0.000 1
```

## Properties
Size of the total moment, Bohr magnetons per cell: 2.44
Crystal system: tetragonal

---

B) LaTaPO2 | PBE | optimized geometry

The structure in CIF format:
```
data_LaTaPO2
_chemical_formula_sum 'La1 Ta1 P1 O2'
_cell_length_a 4.080
_cell_length_b 4.080
_cell_length_c 5.014
_cell_angle_alpha 90.00
_cell_angle_beta 90.00
_cell_angle_gamma 90.00
_symmetry_space_group_name_H-M 'P 4/m m m'
_symmetry_Int_Tables_number 123
_symmetry_space_group_name_Hall '-P 4 2'
loop_
_atom_site_label
_atom_site_type_symbol
_atom_site_fract_x
_atom_site_fract_y
_atom_site_fract_z
_atom_site_occupancy
La1 La 0.000 0.000 0.000 1
Ta1 Ta 0.500 0.500 0.500 1
P1 P 0.500 0.500 0.000 1
O1 O 0.000 0.500 0.500 1
```

## Properties
Size of the total moment, Bohr magnetons per cell: 0.00
Crystal system: tetragonal

---

It is B) that is the most stable of them.

---

A) LaTcP2O | PBE | optimized geometry

The structure in CIF format:
```
data_LaTcP2O
_chemical_formula_sum 'La1 Tc1 P2 O1'
_cell_length_a 5.597
_cell_length_b 5.597
_cell_length_c 4.150
_cell_angle_alpha 90.00
_cell_angle_beta 90.00
_cell_angle_gamma 90.00
_symmetry_space_group_name_H-M 'P 4/m m m'
_symmetry_Int_Tables_number 123
_symmetry_space_group_name_Hall '-P 4 2'
loop_
_atom_site_label
_atom_site_type_symbol
_atom_site_fract_x
_atom_site_fract_y
_atom_site_fract_z
_atom_site_occupancy
La1 La 0.000 0.000 0.000 1
Tc1 Tc 0.500 0.500 0.500 1
P1 P 0.000 0.500 0.000 1
O1 O 0.000 0.000 0.500 1
```

## Properties
Size of the total moment, Bohr magnetons per cell: 3.05
Crystal system: tetragonal

---

B) LaTcP2O | PBE | optimized geometry

The structure in CIF format:
```
data_LaTcP2O
_chemical_formula_sum 'La1 Tc1 P2 O1'
_cell_length_a 4.882
_cell_length_b 4.882
_cell_length_c 3.808
_cell_angle_alpha 90.00
_cell_angle_beta 90.00
_cell_angle_gamma 90.00
_symmetry_space_group_name_H-M 'P 4/m m m'
_symmetry_Int_Tables_number 123
_symmetry_space_group_name_Hall '-P 4 2'
loop_
_atom_site_label
_atom_site_type_symbol
_atom_site_fract_x
_atom_site_fract_y
_atom_site_fract_z
_atom_site_occupancy
La1 La 0.000 0.000 0.000 1
Tc1 Tc 0.500 0.500 0.500 1
P1 P 0.000 0.500 0.500 1
O1 O 0.500 0.500 0.000 1
```

## Properties
Size of the total moment, Bohr magnetons per cell: 0.00
Crystal system: tetragonal

---

It is B) that is the most stable of them.

---

A) LaTePO2 | PBE | optimized geometry

The structure in CIF format:
```
data_LaTePO2
_chemical_formula_sum 'La1 Te1 P1 O2'
_cell_length_a 4.203
_cell_length_b 4.203
_cell_length_c 7.036
_cell_angle_alpha 90.00
_cell_angle_beta 90.00
_cell_angle_gamma 90.00
_symmetry_space_group_name_H-M 'P 4/m m m'
_symmetry_Int_Tables_number 123
_symmetry_space_group_name_Hall '-P 4 2'
loop_
_atom_site_label
_atom_site_type_symbol
_atom_site_fract_x
_atom_site_fract_y
_atom_site_fract_z
_atom_site_occupancy
La1 La 0.000 0.000 0.000 1
Te1 Te 0.500 0.500 0.500 1
P1 P 0.000 0.000 0.500 1
O1 O 0.000 0.500 0.000 1
```

## Properties
Size of the total moment, Bohr magnetons per cell: 0.51
Crystal system: tetragonal

---

B) LaTePO2 | PBE | optimized geometry

The structure in CIF format:
```
data_LaTePO2
_chemical_formula_sum 'La1 Te1 P1 O2'
_cell_length_a 4.266
_cell_length_b 4.266
_cell_length_c 5.205
_cell_angle_alpha 90.00
_cell_angle_beta 90.00
_cell_angle_gamma 90.00
_symmetry_space_group_name_H-M 'P 4/m m m'
_symmetry_Int_Tables_number 123
_symmetry_space_group_name_Hall '-P 4 2'
loop_
_atom_site_label
_atom_site_type_symbol
_atom_site_fract_x
_atom_site_fract_y
_atom_site_fract_z
_atom_site_occupancy
La1 La 0.000 0.000 0.000 1
Te1 Te 0.500 0.500 0.500 1
P1 P 0.500 0.500 0.000 1
O1 O 0.000 0.500 0.500 1
```

## Properties
Size of the total moment, Bohr magnetons per cell: 0.00
Crystal system: tetragonal

---

It is B) that is the most stable of them.

---

A) LaTlP2O | PBE | optimized geometry

The structure in CIF format:
```
data_LaTlP2O
_chemical_formula_sum 'La1 Tl1 P2 O1'
_cell_length_a 5.073
_cell_length_b 5.073
_cell_length_c 4.347
_cell_angle_alpha 90.00
_cell_angle_beta 90.00
_cell_angle_gamma 90.00
_symmetry_space_group_name_H-M 'P 4/m m m'
_symmetry_Int_Tables_number 123
_symmetry_space_group_name_Hall '-P 4 2'
loop_
_atom_site_label
_atom_site_type_symbol
_atom_site_fract_x
_atom_site_fract_y
_atom_site_fract_z
_atom_site_occupancy
La1 La 0.000 0.000 0.000 1
Tl1 Tl 0.500 0.500 0.500 1
P1 P 0.000 0.500 0.500 1
O1 O 0.500 0.500 0.000 1
```

## Properties
Size of the total moment, Bohr magnetons per cell: 0.00
Crystal system: tetragonal

---

B) LaTlP2O | PBE | optimized geometry

The structure in CIF format:
```
data_LaTlP2O
_chemical_formula_sum 'La1 Tl1 P2 O1'
_cell_length_a 5.953
_cell_length_b 5.953
_cell_length_c 4.344
_cell_angle_alpha 90.00
_cell_angle_beta 90.00
_cell_angle_gamma 90.00
_symmetry_space_group_name_H-M 'P 4/m m m'
_symmetry_Int_Tables_number 123
_symmetry_space_group_name_Hall '-P 4 2'
loop_
_atom_site_label
_atom_site_type_symbol
_atom_site_fract_x
_atom_site_fract_y
_atom_site_fract_z
_atom_site_occupancy
La1 La 0.000 0.000 0.000 1
Tl1 Tl 0.500 0.500 0.500 1
P1 P 0.000 0.500 0.000 1
O1 O 0.000 0.000 0.500 1
```

## Properties
Size of the total moment, Bohr magnetons per cell: 3.64
Crystal system: tetragonal

---

It is B) that is the most stable of them.

---

A) LaTlPO2 | PBE | optimized geometry

The structure in CIF format:
```
data_LaTlPO2
_chemical_formula_sum 'La1 Tl1 P1 O2'
_cell_length_a 4.310
_cell_length_b 4.310
_cell_length_c 6.406
_cell_angle_alpha 90.00
_cell_angle_beta 90.00
_cell_angle_gamma 90.00
_symmetry_space_group_name_H-M 'P 4/m m m'
_symmetry_Int_Tables_number 123
_symmetry_space_group_name_Hall '-P 4 2'
loop_
_atom_site_label
_atom_site_type_symbol
_atom_site_fract_x
_atom_site_fract_y
_atom_site_fract_z
_atom_site_occupancy
La1 La 0.000 0.000 0.000 1
Tl1 Tl 0.500 0.500 0.500 1
P1 P 0.000 0.000 0.500 1
O1 O 0.000 0.500 0.000 1
```

## Properties
Size of the total moment, Bohr magnetons per cell: 0.74
Crystal system: tetragonal

---

B) LaTlPO2 | PBE | optimized geometry

The structure in CIF format:
```
data_LaTlPO2
_chemical_formula_sum 'La1 Tl1 P1 O2'
_cell_length_a 4.375
_cell_length_b 4.375
_cell_length_c 5.007
_cell_angle_alpha 90.00
_cell_angle_beta 90.00
_cell_angle_gamma 90.00
_symmetry_space_group_name_H-M 'P 4/m m m'
_symmetry_Int_Tables_number 123
_symmetry_space_group_name_Hall '-P 4 2'
loop_
_atom_site_label
_atom_site_type_symbol
_atom_site_fract_x
_atom_site_fract_y
_atom_site_fract_z
_atom_site_occupancy
La1 La 0.000 0.000 0.000 1
Tl1 Tl 0.500 0.500 0.500 1
P1 P 0.500 0.500 0.000 1
O1 O 0.000 0.500 0.500 1
```

## Properties
Size of the total moment, Bohr magnetons per cell: 0.00
Crystal system: tetragonal

---

It is A) that is the most stable of them.